(1)
Computed, not measured: crystalline AcY14Tm at its relaxed geometry at the PBE level of DFT. Values from VASP.

Values from the calculation:
Symmetry: Amm2

Cell and atoms, written as Quantum ESPRESSO input:
```
&SYSTEM
  ibrav = 0, nat = 16, ntyp = 3
/
ATOMIC_SPECIES
Ac 227.00 Ac.upf
Y 88.91 Y.upf
Tm 168.93 Tm.upf
CELL_PARAMETERS angstrom
11.599 0.000 0.000
0.000 3.613 6.257
0.000 -3.613 6.257
ATOMIC_POSITIONS crystal
Ac 0.000 0.000 0.000
Y 0.000 0.000 0.501
Y 0.000 0.501 0.000
Y 0.249 0.334 0.334
Y 0.253 0.336 0.832
Y 0.253 0.832 0.336
Y 0.255 0.833 0.833
Y 0.500 0.167 0.167
Y 0.500 0.168 0.665
Y 0.500 0.665 0.168
Y 0.500 0.667 0.667
Y 0.745 0.833 0.833
Y 0.747 0.336 0.832
Y 0.747 0.832 0.336
Y 0.751 0.334 0.334
Tm 0.000 0.501 0.501
```

(2)
Computed, not measured: crystalline Ac2Y3Tm2 at its relaxed geometry at the PBE level of DFT. Values from VASP.

Values from the calculation:
Symmetry: C2/m

Cell and atoms, written as Quantum ESPRESSO input:
```
&SYSTEM
  ibrav = 0, nat = 7, ntyp = 3
/
ATOMIC_SPECIES
Ac 227.00 Ac.upf
Y 88.91 Y.upf
Tm 168.93 Tm.upf
CELL_PARAMETERS angstrom
6.450 -1.911 0.000
6.450 1.911 0.000
-0.861 0.000 10.029
ATOMIC_POSITIONS crystal
Ac 0.228 0.228 0.168
Ac 0.772 0.772 0.832
Y 0.362 0.362 0.526
Y 0.500 0.500 0.000
Y 0.638 0.638 0.474
Tm 0.034 0.034 0.719
Tm 0.966 0.966 0.281
```

Computed final energy (eV/atom) in order:
-6.177; -5.153
Computed V (Å³ per cell) in order:
524; 247